Record 1
Sr3LiW: optimized geometry, PBE.

Computed properties:
For the total energy, the calculation gives -15.13 eV per cell. The space-group type is Pm-3m. The formation energy comes out at 0.957 eV per atom. As for the total magnetic moment: 0.0 μB per formula unit. As for the energy above the most stable polymorph in this dataset: 0.0 meV/atom.

Unit cell a=5.937 b=5.937 c=5.937 alpha=90.00 beta=90.00 gamma=90.00
Atoms (fractional coordinates):
Sr: 0.000 0.000 0.500
Sr: 0.000 0.500 0.000
Sr: 0.500 0.000 0.000
Li: 0.500 0.500 0.500
W: 0.000 0.000 0.000

=====

Record 2
SrLi3W: optimized geometry, PBE.

Computed properties:
For the total energy, the calculation gives -15.05 eV per cell. The space-group type is Pm-3m. The formation energy comes out at 1.065 eV per atom. As for the total magnetic moment: 4.1 μB per formula unit. As for the energy above the most stable polymorph in this dataset: 0.0 meV/atom.

Unit cell a=5.183 b=5.183 c=5.183 alpha=90.00 beta=90.00 gamma=90.00
Atoms (fractional coordinates):
Sr: 0.000 0.000 0.000
Li: 0.000 0.500 0.500
Li: 0.500 0.000 0.500
Li: 0.500 0.500 0.000
W: 0.500 0.500 0.500

=====

Record 3
Sr2LiW2: optimized geometry, PBE.

Computed properties:
For the total energy, the calculation gives -27.41 eV per cell. The space-group type is I4/mmm. The formation energy comes out at 0.755 eV per atom. As for the total magnetic moment: 0.0 μB per formula unit. As for the energy above the most stable polymorph in this dataset: 0.0 meV/atom.

Unit cell a=11.383 b=11.383 c=11.383 alpha=161.36 beta=161.36 gamma=26.48
Atoms (fractional coordinates):
Sr: 0.122 0.122 0.000
Sr: 0.878 0.878 0.000
Li: 0.500 0.500 0.000
W: 0.250 0.750 0.500
W: 0.750 0.250 0.500